[1]
Entry from the Alexandria database: a relaxed Zr9W4S crystal (PBEsol).

Cell: 8.6312 8.6312 8.5877 Å, 90.00 90.00 120.00°
With the nearest neighbours (Å) after each atom.
Fractional positions:
Zr (0.0778, 0.5389, 0.2500)  2 W 2.91, 1 S 3.07, 8 Zr 3.20-3.25
Zr (0.1976, 0.3953, 0.5506)  1 S 2.65, 1 W 2.90
Zr (0.1976, 0.3953, 0.9494)  1 S 2.65, 1 W 2.90
Zr (0.1976, 0.8024, 0.5506)  1 S 2.65, 1 W 2.90
Zr (0.1976, 0.8024, 0.9494)  1 S 2.65, 1 W 2.90
Zr (0.3953, 0.1976, 0.0506)  1 S 2.65, 1 W 2.90
Zr (0.3953, 0.1976, 0.4494)  1 S 2.65, 1 W 2.90
Zr (0.4611, 0.5389, 0.2500)  2 W 2.91, 1 S 3.07, 8 Zr 3.20-3.25
Zr (0.4611, 0.9222, 0.2500)  2 W 2.91, 1 S 3.07, 8 Zr 3.20-3.25
Zr (0.5389, 0.0778, 0.7500)  2 W 2.91, 1 S 3.07, 8 Zr 3.20-3.25
Zr (0.5389, 0.4611, 0.7500)  2 W 2.91, 1 S 3.07, 8 Zr 3.20-3.25
Zr (0.6047, 0.8024, 0.5506)  1 S 2.65, 1 W 2.90
Zr (0.6047, 0.8024, 0.9494)  1 S 2.65, 1 W 2.90
Zr (0.8024, 0.1976, 0.0506)  1 S 2.65, 1 W 2.90
Zr (0.8024, 0.1976, 0.4494)  1 S 2.65, 1 W 2.90
Zr (0.8024, 0.6047, 0.0506)  1 S 2.65, 1 W 2.90
Zr (0.8024, 0.6047, 0.4494)  1 S 2.65, 1 W 2.90
Zr (0.9222, 0.4611, 0.7500)  2 W 2.91, 1 S 3.07, 8 Zr 3.20-3.25
W (0.0000, 0.0000, 0.0000)  6 W 2.70, 6 Zr 2.99
W (0.0000, 0.0000, 0.5000)  6 W 2.70, 6 Zr 2.99
W (0.1090, 0.2180, 0.2500)  4 W 2.70-2.82, 4 Zr 2.90-2.91
W (0.1090, 0.8910, 0.2500)  4 W 2.70-2.82, 4 Zr 2.90-2.91
W (0.2180, 0.1090, 0.7500)  4 W 2.70-2.82, 4 Zr 2.90-2.91
W (0.7820, 0.8910, 0.2500)  4 W 2.70-2.82, 4 Zr 2.90-2.91
W (0.8910, 0.1090, 0.7500)  4 W 2.70-2.82, 4 Zr 2.90-2.91
W (0.8910, 0.7820, 0.7500)  4 W 2.70-2.82, 4 Zr 2.90-2.91
S (0.3333, 0.6667, 0.7500)  6 Zr 2.65
S (0.6667, 0.3333, 0.2500)  6 Zr 2.65

Computed properties:
Space-group type   P6_3/mmc (194)
Total DFT energy (no corrections)   -10.383 eV/atom

[2]
Entry from the Alexandria database: a relaxed Y2S3 crystal (PBEsol).

Cell: 10.0898 3.9783 17.3841 Å, 90.00 98.66 90.00°
With the nearest neighbours (Å) after each atom.
Fractional positions:
Y (0.0152, 0.2500, 0.1019)  6 S 2.66-2.80
Y (0.0499, 0.7500, 0.6151)  7 S 2.71-2.88
Y (0.3105, 0.2500, 0.4786)  7 S 2.71-2.92
Y (0.3120, 0.2500, 0.7794)  6 S 2.66-2.82
Y (0.3304, 0.7500, 0.2808)  6 S 2.61-2.79
Y (0.3757, 0.2500, 0.0698)  7 S 2.67-2.89
Y (0.6243, 0.7500, 0.9302)  7 S 2.67-2.89
Y (0.6696, 0.2500, 0.7192)  6 S 2.61-2.79
Y (0.6880, 0.7500, 0.2206)  6 S 2.66-2.82
Y (0.6895, 0.7500, 0.5214)  7 S 2.71-2.92
Y (0.9501, 0.2500, 0.3849)  7 S 2.71-2.88
Y (0.9848, 0.7500, 0.8981)  6 S 2.66-2.80
S (0.1143, 0.7500, 0.4660)  5 Y 2.77-2.83
S (0.1325, 0.2500, 0.9675)  4 Y 2.66-2.81
S (0.1364, 0.7500, 0.7806)  4 Y 2.67-2.88
S (0.1796, 0.2500, 0.3167)  4 Y 2.64-2.92
S (0.2120, 0.7500, 0.1294)  5 Y 2.72-2.88
S (0.2335, 0.2500, 0.6261)  4 Y 2.66-2.79
S (0.4468, 0.2500, 0.9249)  4 Y 2.67-2.72
S (0.4524, 0.7500, 0.4240)  4 Y 2.61-2.72
S (0.4935, 0.2500, 0.2320)  5 Y 2.79-2.89
S (0.5065, 0.7500, 0.7680)  5 Y 2.79-2.89
S (0.5476, 0.2500, 0.5760)  4 Y 2.61-2.72
S (0.5532, 0.7500, 0.0751)  4 Y 2.67-2.72
S (0.7665, 0.7500, 0.3739)  4 Y 2.66-2.79
S (0.7880, 0.2500, 0.8706)  5 Y 2.72-2.88
S (0.8204, 0.7500, 0.6833)  4 Y 2.64-2.92
S (0.8636, 0.2500, 0.2194)  4 Y 2.67-2.88
S (0.8675, 0.7500, 0.0325)  4 Y 2.66-2.81
S (0.8857, 0.2500, 0.5340)  5 Y 2.77-2.83

Computed properties:
Space-group type   P2_1/m (11)
Total DFT energy (no corrections)   -7.495 eV/atom

[3]
Entry from the Alexandria database: a relaxed Y5S7 crystal (PBEsol).

Cell: 6.6199 6.6199 11.4500 Å, 104.06 104.06 33.05°
With the nearest neighbours (Å) after each atom.
Fractional positions:
Y (0.0000, 0.0000, 0.0000)  6 S 2.65-2.72
Y (0.1124, 0.1124, 0.4215)  6 S 2.65-2.79
Y (0.3004, 0.3004, 0.1885)  7 S 2.72-2.91
Y (0.6996, 0.6996, 0.8115)  7 S 2.72-2.91
Y (0.8876, 0.8876, 0.5785)  6 S 2.65-2.79
S (0.0412, 0.0412, 0.7846)  4 Y 2.65-2.72
S (0.2594, 0.2594, 0.6485)  5 Y 2.74-2.88
S (0.3404, 0.3404, 0.9490)  5 Y 2.72-2.91
S (0.5000, 0.5000, 0.5000)  4 Y 2.65
S (0.6596, 0.6596, 0.0510)  5 Y 2.72-2.91
S (0.7406, 0.7406, 0.3515)  5 Y 2.74-2.88
S (0.9588, 0.9588, 0.2154)  4 Y 2.65-2.72

Computed properties:
Space-group type   C2/m (12)
Total DFT energy (no corrections)   -7.552 eV/atom

[4]
Entry from the Alexandria database: a relaxed Y2S3 crystal (PBEsol).

Cell: 13.5711 13.5711 13.5711 Å, 144.84 144.84 50.57°
With the nearest neighbours (Å) after each atom.
Fractional positions:
Y (0.0477, 0.4260, 0.8952)  7 S 2.70-2.92
Y (0.1659, 0.1659, 0.0000)  8 S 2.73-2.92
Y (0.1760, 0.2977, 0.3952)  7 S 2.70-2.92
Y (0.2192, 0.8240, 0.1217)  7 S 2.70-2.92
Y (0.2563, 0.1250, 0.6313)  8 S 2.74-2.99
Y (0.3750, 0.7437, 0.8687)  8 S 2.74-2.99
Y (0.4937, 0.6250, 0.3687)  8 S 2.74-2.99
Y (0.5308, 0.1525, 0.1048)  7 S 2.70-2.92
Y (0.5740, 0.4692, 0.6217)  7 S 2.70-2.92
Y (0.5841, 0.0841, 0.5000)  8 S 2.73-2.92
Y (0.7023, 0.0975, 0.8783)  7 S 2.70-2.92
Y (0.8341, 0.8341, 0.0000)  8 S 2.73-2.92
Y (0.8475, 0.9523, 0.3783)  7 S 2.70-2.92
Y (0.8750, 0.5063, 0.1313)  8 S 2.74-2.99
Y (0.9025, 0.7808, 0.6048)  7 S 2.70-2.92
Y (0.9159, 0.4159, 0.5000)  8 S 2.73-2.92
S (0.0033, 0.1106, 0.2467)  5 Y 2.73-2.99
S (0.0728, 0.8266, 0.6090)  5 Y 2.70-2.92
S (0.1734, 0.7824, 0.2463)  5 Y 2.70-2.92
S (0.1869, 0.0933, 0.7473)  5 Y 2.71-2.92
S (0.1896, 0.5960, 0.7527)  5 Y 2.71-2.92
S (0.2138, 0.4676, 0.8910)  5 Y 2.70-2.92
S (0.2176, 0.4638, 0.3910)  5 Y 2.70-2.92
S (0.2434, 0.9967, 0.1073)  5 Y 2.73-2.99
S (0.3460, 0.4396, 0.2527)  5 Y 2.71-2.92
S (0.4040, 0.1567, 0.5936)  5 Y 2.71-2.92
S (0.5066, 0.1139, 0.2533)  5 Y 2.73-2.99
S (0.5324, 0.4234, 0.7463)  5 Y 2.70-2.92
S (0.5362, 0.9272, 0.7537)  5 Y 2.70-2.92
S (0.5604, 0.8131, 0.9064)  5 Y 2.71-2.92
S (0.5631, 0.8104, 0.4064)  5 Y 2.71-2.92
S (0.5766, 0.3228, 0.1090)  5 Y 2.70-2.92
S (0.6772, 0.7862, 0.2537)  5 Y 2.70-2.92
S (0.7467, 0.4934, 0.6073)  5 Y 2.73-2.99
S (0.8433, 0.4369, 0.2473)  5 Y 2.71-2.92
S (0.8606, 0.2533, 0.7467)  5 Y 2.73-2.99
S (0.8639, 0.7566, 0.7533)  5 Y 2.73-2.99
S (0.8861, 0.1394, 0.3927)  5 Y 2.73-2.99
S (0.8894, 0.1361, 0.8927)  5 Y 2.73-2.99
S (0.9067, 0.6540, 0.0936)  5 Y 2.71-2.92

Computed properties:
Space-group type   I-42d (122)
Total DFT energy (no corrections)   -7.501 eV/atom

[5]
Entry from the Alexandria database: a relaxed YS crystal (PBEsol).

Cell: 3.8591 3.8591 3.8591 Å, 60.00 60.00 60.00°
With the nearest neighbours (Å) after each atom.
Fractional positions:
Y (0.0000, 0.0000, 0.0000)  6 S 2.73
S (0.5000, 0.5000, 0.5000)  6 Y 2.73

Computed properties:
Space-group type   Fm-3m (225)
Total DFT energy (no corrections)   -7.738 eV/atom

[6]
Entry from the Alexandria database: a relaxed Y2S3 crystal (PBEsol).

Cell: 10.5342 3.8265 10.2785 Å, 90.00 90.00 90.00°
With the nearest neighbours (Å) after each atom.
Fractional positions:
Y (0.0105, 0.2500, 0.1870)  7 S 2.72-2.78
Y (0.1931, 0.2500, 0.5027)  7 S 2.80-2.81
Y (0.3069, 0.7500, 0.0027)  7 S 2.80-2.81
Y (0.4895, 0.7500, 0.6870)  7 S 2.72-2.78
Y (0.5105, 0.2500, 0.3130)  7 S 2.72-2.78
Y (0.6931, 0.2500, 0.9973)  7 S 2.80-2.81
Y (0.8069, 0.7500, 0.4973)  7 S 2.80-2.81
Y (0.9895, 0.7500, 0.8130)  7 S 2.72-2.78
S (0.0454, 0.7500, 0.3743)  5 Y 2.74-2.81
S (0.1201, 0.2500, 0.9443)  5 Y 2.72-2.81
S (0.2284, 0.7500, 0.6986)  4 Y 2.75-2.80, 1 S 3.06
S (0.2716, 0.2500, 0.1986)  4 Y 2.75-2.80, 1 S 3.06
S (0.3799, 0.7500, 0.4443)  5 Y 2.72-2.81
S (0.4546, 0.2500, 0.8743)  5 Y 2.74-2.81
S (0.5454, 0.7500, 0.1257)  5 Y 2.74-2.81
S (0.6201, 0.2500, 0.5557)  5 Y 2.72-2.81
S (0.7284, 0.7500, 0.8014)  4 Y 2.75-2.80, 1 S 3.06
S (0.7716, 0.2500, 0.3014)  4 Y 2.75-2.80, 1 S 3.06
S (0.8799, 0.7500, 0.0557)  5 Y 2.72-2.81
S (0.9546, 0.2500, 0.6257)  5 Y 2.74-2.81

Computed properties:
Space-group type   Pnma (62)
Total DFT energy (no corrections)   -7.522 eV/atom

[7]
Entry from the Alexandria database: a relaxed Y2ZnS4 crystal (PBEsol).

Cell: 13.3625 7.8237 6.2418 Å, 90.00 90.00 90.00°
With the nearest neighbours (Å) after each atom.
Fractional positions:
Y (0.0000, 0.0000, 0.0000)  6 S 2.70-2.73
Y (0.0000, 0.5000, 0.0000)  6 S 2.70-2.73
Y (0.2345, 0.2500, 0.4937)  6 S 2.69-2.74
Y (0.2655, 0.7500, 0.9937)  6 S 2.69-2.74
Y (0.5000, 0.0000, 0.5000)  6 S 2.70-2.73
Y (0.5000, 0.5000, 0.5000)  6 S 2.70-2.73
Y (0.7345, 0.2500, 0.0063)  6 S 2.69-2.74
Y (0.7655, 0.7500, 0.5063)  6 S 2.69-2.74
Zn (0.0919, 0.7500, 0.4077)  4 S 2.27-2.36
Zn (0.4081, 0.2500, 0.9077)  4 S 2.27-2.36
Zn (0.5919, 0.7500, 0.0923)  4 S 2.27-2.36
Zn (0.9081, 0.2500, 0.5923)  4 S 2.27-2.36
S (0.0699, 0.2500, 0.7430)  1 Zn 2.36
S (0.0899, 0.7500, 0.7719)  1 Zn 2.27
S (0.1689, 0.5146, 0.2439)  1 Zn 2.34
S (0.1689, 0.9854, 0.2439)  1 Zn 2.34
S (0.3311, 0.0146, 0.7439)  1 Zn 2.34
S (0.3311, 0.4854, 0.7439)  1 Zn 2.34
S (0.4101, 0.2500, 0.2719)  1 Zn 2.27
S (0.4301, 0.7500, 0.2430)  1 Zn 2.36
S (0.5699, 0.2500, 0.7570)  1 Zn 2.36
S (0.5899, 0.7500, 0.7281)  1 Zn 2.27
S (0.6689, 0.5146, 0.2561)  1 Zn 2.34
S (0.6689, 0.9854, 0.2561)  1 Zn 2.34
S (0.8311, 0.0146, 0.7561)  1 Zn 2.34
S (0.8311, 0.4854, 0.7561)  1 Zn 2.34
S (0.9101, 0.2500, 0.2281)  1 Zn 2.27
S (0.9301, 0.7500, 0.2570)  1 Zn 2.36

Computed properties:
Space-group type   Pnma (62)
ΔE to the lowest computed polymorph   0.00 eV/f.u.
Total DFT energy (no corrections)   -6.406 eV/atom